Entry 1:
VASP calculation (GGA-PBE) on crystalline AcDyAgGe at its relaxed geometry.

Output
E ... -4.473 eV/atom
DOS(E_F) ... 4.4 states/eV/f.u.
Formation energy from the elements ... -0.4285 eV per atom
Spin magnetization ... 0.00 μB/f.u.
SG ... F-43m, No. 216

a b c (Å): 5.3382 5.3382 5.3382
angles (deg): 60.00 60.00 60.00
Element x y z (fractional)
Ac: 0.0000 0.0000 0.0000
Ge: 0.2500 0.2500 0.2500
Ag: 0.7500 0.7500 0.7500
Dy: 0.5000 0.5000 0.5000

---

Entry 2:
VASP calculation (GGA-PBE) on crystalline AcDyAg2Hg4 at its relaxed geometry.

Output
E ... -2.273 eV/atom
DOS(E_F) ... 5.2 states/eV/f.u.
Formation energy from the elements ... -0.3203 eV per atom
Spin magnetization ... 0.00 μB/f.u.
SG ... R-3m, No. 166

a b c (Å): 4.9953 4.9953 9.6398
angles (deg): 74.98 74.98 60.00
Element x y z (fractional)
Ac: 0.0000 0.0000 0.0000
Dy: 0.5000 0.5000 0.5000
Ag: 0.7636 0.7636 0.7092
Ag: 0.2364 0.2364 0.2908
Hg: 0.3887 0.3887 0.8338
Hg: 0.8756 0.8756 0.3731
Hg: 0.1244 0.1244 0.6269
Hg: 0.6113 0.6113 0.1662

---

Entry 3:
VASP calculation (GGA-PBE) on crystalline AcDyIn2Ag2 at its relaxed geometry.

Output
E ... -3.710 eV/atom
DOS(E_F) ... 6.6 states/eV/f.u.
Formation energy from the elements ... -0.3948 eV per atom
Spin magnetization ... 0.00 μB/f.u.
SG ... P-3m1, No. 164

a b c (Å): 4.8912 4.8912 7.7276
angles (deg): 90.00 90.00 120.00
Element x y z (fractional)
Ac: 0.0000 0.0000 0.0000
Dy: 0.0000 0.0000 0.5000
In: 0.6667 0.3333 0.7144
In: 0.3333 0.6667 0.2856
Ag: 0.6667 0.3333 0.2987
Ag: 0.3333 0.6667 0.7013

---

Entry 4:
VASP calculation (GGA-PBE) on crystalline Ac2DyIn4Ag3 at its relaxed geometry.

Output
E ... -3.559 eV/atom
DOS(E_F) ... 6.2 states/eV/f.u.
Formation energy from the elements ... -0.3263 eV per atom
Spin magnetization ... 0.00 μB/f.u.
SG ... P-4m2, No. 115

a b c (Å): 4.6390 4.6390 12.8227
angles (deg): 90.00 90.00 90.00
Element x y z (fractional)
Ac: 0.5000 0.0000 0.2343
Ac: 0.0000 0.5000 0.7657
Dy: 0.5000 0.5000 0.5000
In: 0.5000 0.5000 0.0000
In: 0.0000 0.0000 0.0000
In: 0.5000 0.0000 0.6549
In: 0.0000 0.5000 0.3451
Ag: 0.0000 0.0000 0.5000
Ag: 0.5000 0.0000 0.8687
Ag: 0.0000 0.5000 0.1313

---

Entry 5:
VASP calculation (GGA-PBE) on crystalline LiAcDyAg at its relaxed geometry.

Output
E ... -3.408 eV/atom
DOS(E_F) ... 4.6 states/eV/f.u.
Formation energy from the elements ... -0.0395 eV per atom
Spin magnetization ... 0.00 μB/f.u.
SG ... F-43m, No. 216

a b c (Å): 5.4281 5.4281 5.4281
angles (deg): 60.00 60.00 60.00
Element x y z (fractional)
Ac: 0.2500 0.2500 0.2500
Li: 0.0000 0.0000 0.0000
Ag: 0.5000 0.5000 0.5000
Dy: 0.7500 0.7500 0.7500

---

Entry 6:
VASP calculation (GGA-PBE) on crystalline AcDyLuAg at its relaxed geometry.

Output
E ... -3.826 eV/atom
DOS(E_F) ... 5.3 states/eV/f.u.
Formation energy from the elements ... 0.1950 eV per atom
Spin magnetization ... 0.00 μB/f.u.
SG ... F-43m, No. 216

a b c (Å): 5.5248 5.5248 5.5248
angles (deg): 60.00 60.00 60.00
Element x y z (fractional)
Ac: 0.7500 0.7500 0.7500
Lu: 0.5000 0.5000 0.5000
Ag: 0.2500 0.2500 0.2500
Dy: 0.0000 0.0000 0.0000

---

Entry 7:
VASP calculation (GGA-PBE) on crystalline AcDyMgAg at its relaxed geometry.

Output
E ... -3.387 eV/atom
DOS(E_F) ... 3.9 states/eV/f.u.
Formation energy from the elements ... -0.0974 eV per atom
Spin magnetization ... 0.00 μB/f.u.
SG ... F-43m, No. 216
Distance to the lowest polymorph of the same formula ... 69 meV/atom

a b c (Å): 5.4971 5.4971 5.4971
angles (deg): 60.00 60.00 60.00
Element x y z (fractional)
Ac: 0.5000 0.5000 0.5000
Mg: 0.7500 0.7500 0.7500
Ag: 0.2500 0.2500 0.2500
Dy: 0.0000 0.0000 0.0000

---

Entry 8:
VASP calculation (GGA-PBE) on crystalline AcDyMgAg at its relaxed geometry.

Output
E ... -3.456 eV/atom
DOS(E_F) ... 3.5 states/eV/f.u.
Formation energy from the elements ... -0.1665 eV per atom
Spin magnetization ... 0.00 μB/f.u.
SG ... P4mm, No. 99
Distance to the lowest polymorph of the same formula ... 0 meV/atom

a b c (Å): 3.8783 3.8783 7.6927
angles (deg): 90.00 90.00 90.00
Element x y z (fractional)
Ac: 0.0000 0.0000 0.8627
Dy: 0.0000 0.0000 0.3434
Mg: 0.5000 0.5000 0.5751
Ag: 0.5000 0.5000 0.1468